Here is a geometry-optimized Nd3Se2O2 structure from Alexandria via LeMat-Bulk. Energies are from PBE.

Output
- energy above the most stable polymorph in this dataset (meV/atom) = 21
- ρ (g/cm3) = 6.715
- total energy (eV/atom) = -7.04
- raw formation energy (meV per atom) = -2579

Cell: 3.9771 8.0084 10.3051 Å, 78.45 78.87 75.62°
With the nearest neighbours (Å) after each atom.
Atoms (fractional coordinates):
Se: 0.3941 0.2424 0.9694  6 Nd 3.14-3.31
Se: 0.7430 0.8637 0.6502  6 Nd 2.94-3.10
Se: 0.6059 0.7576 0.0306  6 Nd 3.14-3.31
Se: 0.2570 0.1363 0.3498  6 Nd 2.94-3.10
Nd: 0.5980 0.2610 0.5431  4 O 2.35-2.39
Nd: 0.1334 0.5154 0.2177  3 O 2.35-2.41
Nd: 0.0939 0.9805 0.8317  1 O 2.33
Nd: 0.9061 0.0195 0.1683  1 O 2.33
Nd: 0.8666 0.4846 0.7823  3 O 2.35-2.41
Nd: 0.4020 0.7390 0.4569  4 O 2.35-2.39
O: 0.5791 0.4876 0.3542  4 Nd 2.35-2.41
O: 0.9565 0.7631 0.3240  4 Nd 2.33-2.39
O: 0.4209 0.5124 0.6458  4 Nd 2.35-2.41
O: 0.0435 0.2369 0.6760  4 Nd 2.33-2.39